Record 1
A plane-wave DFT calculation with PBE was carried out for an optimized crystal structure of AcSb3Rh.

```
5
Lattice="5.246 0.000 0.000 0.000 5.246 0.000 0.000 0.000 5.246" Properties=species:S:1:pos:R:3 pbc="T T T"
Sb 0.000 0.000 2.623
Sb 2.623 0.000 0.000
Sb 0.000 2.623 0.000
Rh 0.000 0.000 0.000
Ac 2.623 2.623 2.623
```

Properties
Crystal system: cubic
Space-group type: Pm-3m


Record 2
A plane-wave DFT calculation with PBE was carried out for an optimized crystal structure of Ac2Sb3Rh2.

```
7
Lattice="-3.495 2.238 -1.734 -1.599 -3.479 4.564 2.803 6.633 2.911" Properties=species:S:1:pos:R:3 pbc="T T T"
Ac 1.231 4.552 3.392
Ac -3.522 0.840 2.349
Sb -0.946 1.902 4.360
Sb -1.747 1.119 -0.867
Sb -1.345 3.490 1.382
Rh -0.225 1.075 1.840
Rh -2.066 4.316 3.901
```

Properties
Crystal system: monoclinic
Space-group type: C2/m


Record 3
A plane-wave DFT calculation with PBE was carried out for an optimized crystal structure of AcSb4Rh6.

```
11
Lattice="4.137 0.000 0.000 0.000 6.636 -3.832 0.000 0.000 7.663" Properties=species:S:1:pos:R:3 pbc="T T T"
Rh 2.068 1.340 2.321
Rh 0.000 3.550 -1.514
Rh 2.068 3.957 3.832
Rh 2.068 1.340 5.342
Rh 0.000 3.550 1.514
Rh 0.000 6.172 0.000
Sb 2.068 5.347 -1.598
Sb 2.068 5.347 1.598
Sb 2.068 2.579 0.000
Sb 0.000 2.212 3.832
Ac 0.000 0.000 0.000
```

Properties
Crystal system: hexagonal
Space-group type: P-6m2


Record 4
A plane-wave DFT calculation with PBE was carried out for an optimized crystal structure of Ac4Sb6Rh7.

```
17
Lattice="-2.111 5.710 -5.142 2.686 -6.335 -4.020 -6.322 -2.111 4.368" Properties=species:S:1:pos:R:3 pbc="T T T"
Sb 0.387 -0.420 -6.163
Sb -1.191 -2.766 0.114
Sb -5.672 2.420 -0.521
Sb 0.188 -0.204 -3.000
Sb -2.446 -5.680 0.234
Sb -2.762 1.178 -0.254
Rh -5.126 -0.312 -0.300
Rh -0.621 -2.424 -4.495
Rh -1.821 0.588 -4.775
Rh -1.674 -4.379 -2.117
Rh 0.000 0.000 0.000
Rh -3.926 -3.323 -0.020
Rh -4.073 1.643 -2.678
Ac -1.056 2.855 -2.571
Ac -3.161 -1.056 2.184
Ac 1.343 -3.167 -2.010
Ac -2.874 -1.368 -2.398
```

Properties
Crystal system: cubic
Space-group type: Im-3m


Record 5
A plane-wave DFT calculation with PBE was carried out for an optimized crystal structure of Ac3Sb2Rh6.

```
22
Lattice="8.015 0.000 -2.834 -4.008 6.942 -2.834 0.000 0.000 8.502" Properties=species:S:1:pos:R:3 pbc="T T T"
Ac 1.150 1.992 -1.626
Ac -1.150 1.992 1.626
Ac 2.300 0.000 1.626
Ac 5.716 0.000 4.042
Ac -2.858 4.950 4.042
Ac 2.858 4.950 -4.042
Sb -2.004 3.471 -1.417
Sb 0.000 0.000 4.251
Sb 4.008 0.000 -1.417
Sb 2.004 3.471 1.417
Rh 0.177 4.526 -2.834
Rh 2.613 4.526 -1.111
Rh 2.790 0.000 4.556
Rh -1.395 2.416 4.556
Rh 5.226 0.000 1.111
Rh 3.831 2.416 -2.834
Rh -0.177 4.526 2.834
Rh 4.185 2.416 0.000
Rh 4.008 2.109 2.834
Rh 1.395 2.416 3.945
Rh 0.000 4.832 0.000
Rh -2.613 4.526 1.112
```

Properties
Crystal system: cubic
Space-group type: Im-3m


Record 6
A plane-wave DFT calculation with PBE was carried out for an optimized crystal structure of Ac2SbRh.

```
4
Lattice="4.544 0.000 0.000 2.272 3.936 0.000 2.272 1.312 7.506" Properties=species:S:1:pos:R:3 pbc="T T T"
Sb 4.544 2.624 3.753
Ac 2.272 1.312 1.659
Ac 6.817 3.936 5.847
Rh 0.000 0.000 0.000
```

Properties
Crystal system: trigonal
Space-group type: R-3m


Record 7
A plane-wave DFT calculation with PBE was carried out for an optimized crystal structure of Ac4Sb2Rh.

```
7
Lattice="5.453 0.000 0.000 0.000 5.453 0.000 -2.726 -2.726 8.926" Properties=species:S:1:pos:R:3 pbc="T T T"
Ac 2.726 0.000 0.000
Ac 0.000 0.000 3.127
Ac 0.000 2.726 0.000
Ac 2.726 2.726 5.798
Rh 0.000 0.000 0.000
Sb 0.000 0.000 6.488
Sb 2.726 2.726 2.438
```

Properties
Crystal system: tetragonal
Space-group type: I4/mmm


Record 8
A plane-wave DFT calculation with PBE was carried out for an optimized crystal structure of AcSb3Rh3.

```
14
Lattice="-2.615 -5.077 -4.336 -2.058 -3.818 5.711 -6.352 3.327 -0.065" Properties=species:S:1:pos:R:3 pbc="T T T"
Sb -1.683 -3.178 1.771
Sb -3.691 0.709 1.395
Sb -6.072 -0.044 -2.217
Sb -2.895 -1.707 -2.185
Sb -4.720 -1.200 4.251
Sb -2.990 -5.717 -0.397
Rh -5.793 0.586 2.807
Rh -5.137 -2.145 -3.285
Rh -2.851 -5.402 2.115
Rh -1.822 -3.493 -0.741
Rh -2.617 -1.077 2.839
Rh -3.830 0.394 -1.117
Ac -5.512 -2.784 0.655
Ac 0.000 0.000 0.000
```

Properties
Crystal system: cubic
Space-group type: Pm-3n


Record 9
A plane-wave DFT calculation with PBE was carried out for an optimized crystal structure of Ac3Sb4Rh8.

```
30
Lattice="-3.746 2.558 8.407 3.883 -3.184 8.127 4.740 6.018 5.708" Properties=species:S:1:pos:R:3 pbc="T T T"
Rh 1.604 1.773 7.314
Rh 4.268 4.718 19.462
Rh 4.768 5.516 16.728
Rh 0.109 -0.124 5.514
Rh 0.379 2.777 4.751
Rh 1.897 1.709 16.607
Rh 2.551 -0.918 6.844
Rh 2.092 4.426 17.579
Rh 2.785 0.966 4.663
Rh 4.498 2.615 17.490
Rh 6.141 3.439 15.258
Rh 2.980 3.683 5.634
Rh -1.264 1.953 6.984
Rh 0.610 0.674 2.780
Rh 2.326 6.310 15.398
Rh 3.273 3.619 14.928
Ac -0.400 2.633 9.875
Ac 5.278 2.759 12.366
Ac 3.102 -0.003 9.746
Ac 1.382 1.171 13.606
Ac 3.495 4.221 8.636
Ac 1.775 5.395 12.495
Sb -1.873 1.279 4.204
Sb 2.439 2.696 11.121
Sb 0.497 4.288 7.058
Sb 2.370 3.009 2.854
Sb 0.000 0.000 0.000
Sb 0.069 -0.313 8.267
Sb 1.942 -1.592 4.063
Sb 4.311 1.417 6.917
```

Properties
Crystal system: cubic
Space-group type: Fm-3m


Record 10
A plane-wave DFT calculation with PBE was carried out for an optimized crystal structure of AcSb2Rh.

```
4
Lattice="-2.767 -2.218 -0.252 0.819 -0.637 -3.400 4.614 -6.012 2.238" Properties=species:S:1:pos:R:3 pbc="T T T"
Sb 0.883 -1.151 0.428
Sb 3.731 -4.861 1.809
Rh -0.974 -1.427 -1.826
Ac 1.333 -4.433 -0.707
```

Properties
Crystal system: tetragonal
Space-group type: P4/mmm


Record 11
A plane-wave DFT calculation with PBE was carried out for an optimized crystal structure of Ac12Sb3Rh5.

```
80
Lattice="15.899 0.000 0.000 -5.300 14.989 0.000 -5.300 -7.495 12.981" Properties=species:S:1:pos:R:3 pbc="T T T"
Ac 6.684 2.179 1.571
Ac 11.864 3.477 3.818
Ac 10.426 1.593 0.382
Ac 3.915 6.197 5.389
Ac -6.565 4.018 9.163
Ac 0.173 4.875 5.301
Ac 10.772 -3.281 8.061
Ac 9.922 0.881 6.109
Ac -0.762 9.504 1.102
Ac -4.623 6.613 6.872
Ac -0.677 1.102 2.673
Ac -2.823 -5.901 12.600
Ac 3.411 9.454 1.189
Ac 1.385 1.297 7.593
Ac -1.888 0.050 10.690
Ac 5.126 2.620 7.680
Ac 3.411 5.485 1.102
Ac 8.123 4.214 4.920
Ac 1.973 5.511 8.782
Ac 1.888 -1.959 11.792
Ac 5.976 6.392 10.308
Ac 8.123 13.396 0.382
Ac 6.061 1.959 11.792
Ac 7.272 8.376 6.872
Ac 6.061 -2.009 11.879
Ac 4.623 -1.984 4.199
Ac -2.823 3.281 8.061
Ac -1.385 -4.018 9.163
Ac 0.677 9.479 8.782
Ac -1.973 -0.881 6.109
Ac -1.265 8.792 5.389
Ac -4.035 12.810 1.571
Ac 11.361 7.545 2.291
Ac 6.684 11.513 3.818
Ac 8.626 -1.102 2.673
Ac 2.823 -2.620 7.680
Ac -5.473 10.776 4.920
Ac -6.061 -0.050 10.690
Ac -3.327 8.597 10.308
Ac -1.385 5.315 11.410
Ac 7.188 7.444 2.291
Ac 9.334 -5.315 11.410
Ac 1.888 2.009 11.879
Ac 2.476 10.115 5.301
Ac -5.126 5.901 12.600
Ac 3.327 1.984 4.199
Ac -0.762 5.536 1.189
Ac 6.565 -1.297 7.593
Rh 9.274 -0.937 8.113
Rh -3.975 8.432 4.868
Rh -1.325 12.179 1.623
Rh 0.000 0.000 0.000
Rh 1.325 4.684 11.359
Rh 6.624 6.558 4.868
Rh 6.624 -4.684 11.359
Rh -1.325 3.747 3.245
Rh -2.650 -3.747 6.491
Rh -2.650 7.495 0.000
Rh 3.975 11.242 3.245
Rh 5.300 7.495 0.000
Rh -1.325 0.937 8.113
Rh 1.325 -3.747 9.736
Rh 2.650 3.747 6.491
Rh 5.300 -3.747 6.491
Rh 7.949 0.000 0.000
Rh -5.300 3.747 6.491
Rh 3.975 2.811 1.623
Rh 6.624 3.747 9.736
Sb 6.624 0.937 4.868
Sb -1.325 6.558 8.113
Sb 1.325 -0.937 4.868
Sb -3.975 -2.811 11.359
Sb 9.274 4.684 1.623
Sb -3.975 2.811 11.359
Sb 1.325 7.495 3.245
Sb 3.975 8.432 8.113
Sb -6.624 7.495 9.736
Sb 11.924 0.000 3.245
Sb 3.975 0.000 9.736
Sb 9.274 10.305 1.623
```

Properties
Crystal system: cubic
Space-group type: Ia-3d


Record 12
A plane-wave DFT calculation with PBE was carried out for an optimized crystal structure of Ac2Sb4Rh5.

```
11
Lattice="5.945 0.000 0.000 2.973 5.297 0.000 2.973 0.000 7.934" Properties=species:S:1:pos:R:3 pbc="T T T"
Sb 8.918 3.598 5.913
Sb 5.945 3.598 2.021
Sb 5.945 1.698 5.913
Sb 2.973 1.698 2.021
Ac 2.973 0.000 5.825
Ac 5.945 0.000 2.109
Rh 4.459 2.648 0.000
Rh 2.973 0.000 0.000
Rh 7.431 2.648 3.967
Rh 1.486 2.648 0.000
Rh 4.459 2.648 3.967
```

Properties
Crystal system: orthorhombic
Space-group type: Fmmm


Record 13
A plane-wave DFT calculation with PBE was carried out for an optimized crystal structure of AcSb2Rh.

```
8
Lattice="4.951 0.000 0.000 0.000 4.566 -1.150 0.000 -0.058 9.412" Properties=species:S:1:pos:R:3 pbc="T T T"
Sb 1.238 2.475 0.186
Sb 3.713 2.034 8.076
Sb 3.713 3.387 3.807
Sb 1.238 1.122 4.455
Rh 1.238 3.110 2.708
Rh 3.713 1.399 5.554
Ac 1.238 4.024 6.336
Ac 3.713 0.485 1.925
```

Properties
Crystal system: orthorhombic
Space-group type: Cmcm


Record 14
A plane-wave DFT calculation with PBE was carried out for an optimized crystal structure of Ac2Sb2Rh5.

```
9
Lattice="-2.606 -3.162 2.160 3.261 -0.463 3.257 -3.940 6.580 4.879" Properties=species:S:1:pos:R:3 pbc="T T T"
Ac 0.000 0.000 0.000
Ac -1.970 3.290 2.440
Rh -4.134 3.148 4.587
Rh 0.522 1.620 3.001
Rh -2.411 0.270 2.452
Rh -1.201 4.498 5.135
Rh -1.642 1.478 5.148
Sb -2.952 3.665 6.770
Sb -0.333 -0.709 3.526
```

Properties
Crystal system: tetragonal
Space-group type: P4/mmm


Record 15
A plane-wave DFT calculation with PBE was carried out for an optimized crystal structure of Ac3Sb2Rh3.

```
16
Lattice="-3.708 -1.692 2.105 5.125 -3.474 1.236 2.999 8.834 12.388" Properties=species:S:1:pos:R:3 pbc="T T T"
Sb 1.673 -1.036 2.114
Sb 1.794 1.907 9.693
Sb 2.743 4.703 13.615
Sb 2.622 1.760 6.036
Ac -0.203 0.172 4.780
Ac 4.619 3.495 10.949
Ac 2.088 -1.034 7.847
Ac 2.328 4.701 7.883
Ac 1.234 -3.547 4.322
Ac 3.181 7.214 11.407
Rh 4.106 1.466 8.414
Rh 0.309 2.201 7.315
Rh 2.833 -0.543 4.555
Rh -0.959 -1.536 2.074
Rh 5.375 5.203 13.655
Rh 1.583 4.210 11.174
```

Properties
Crystal system: orthorhombic
Space-group type: Cmcm


Record 16
A plane-wave DFT calculation with PBE was carried out for an optimized crystal structure of Ac2Sb2Rh3.

```
14
Lattice="7.293 0.000 -2.579 -3.647 6.316 -2.579 0.000 0.000 7.736" Properties=species:S:1:pos:R:3 pbc="T T T"
Sb -1.566 3.603 2.760
Sb 0.257 5.871 0.182
Sb 0.000 0.000 7.191
Sb 1.310 3.158 -2.397
Ac 1.840 3.129 1.301
Ac 3.663 0.029 -1.277
Ac 0.000 0.000 3.832
Ac 5.437 3.158 -3.856
Rh 6.299 1.436 -1.173
Rh 3.729 3.015 -1.406
Rh 4.393 1.579 1.173
Rh 1.741 0.143 1.406
Rh 2.818 1.722 3.751
Rh 2.900 4.737 -3.751
```

Properties
Crystal system: cubic
Space-group type: I2_13


Record 17
A plane-wave DFT calculation with PBE was carried out for an optimized crystal structure of Ac6SbRh4.

```
22
Lattice="-3.006 2.040 -2.494 -3.412 -5.911 3.172 -5.730 12.500 17.132" Properties=species:S:1:pos:R:3 pbc="T T T"
Rh -3.963 4.376 8.357
Rh -4.650 -2.322 3.706
Rh -10.558 9.430 16.548
Rh -7.498 10.951 14.104
Rh -1.590 -0.801 1.262
Rh -6.084 7.867 9.877
Rh -8.185 4.253 9.454
Rh -6.064 0.762 7.934
Ac -10.882 7.073 15.011
Ac -4.368 7.270 7.319
Ac -7.437 8.767 12.243
Ac -2.358 3.938 6.064
Ac -5.629 5.030 10.900
Ac -6.519 3.599 6.910
Ac -1.503 1.020 -1.247
Ac -9.790 4.691 11.747
Ac -4.618 -0.549 1.225
Ac -1.266 1.557 2.800
Ac -4.711 -0.138 5.567
Ac -7.530 9.178 16.586
Sb -7.643 6.045 14.160
Sb -4.504 2.584 3.651
```

Properties
Crystal system: orthorhombic
Space-group type: Cmcm


no.,ΔE_f (raw) (meV per atom)
1,-309
2,-713
3,-601
4,-770
5,-659
6,-788
7,-726
8,-378
9,-569
10,-330
11,-532
12,-660
13,-844
14,-579
15,-758
16,-822
17,-720